No. 1
DFT (PBE) results for CrFeGe2 after structural relaxation.

POSCAR file:
```
CrFeGe2
1.0
0.000 2.951 2.951
2.951 0.000 2.951
2.951 2.951 0.000
Cr Ge Fe
1 2 1
Cartesian
0.000 0.000 0.000
1.476 1.476 1.476
4.427 4.427 4.427
2.951 2.951 2.951
```

Calculated values
ΔH_f (0 K)	0.14	eV per atom
ΔE to the lowest computed polymorph	0.72	eV/f.u.

No. 2
DFT (PBE) results for La2NiSn4 after structural relaxation.

POSCAR file:
```
La2NiSn4
1.0
-3.399 -3.463 -0.854
3.080 -3.445 1.710
-3.138 -2.386 7.946
Ni Sn La
1 4 2
Cartesian
0.000 0.000 0.000
-2.187 -2.727 5.545
-1.270 -6.567 3.256
1.540 -1.722 0.855
-1.700 -1.732 -0.427
-1.023 -3.144 2.607
-2.434 -6.149 6.194
```

Calculated values
ΔH_f (0 K)	-0.43	eV per atom
ΔE to the lowest computed polymorph	1.67	eV/f.u.

No. 3
DFT (PBE) results for CeEr5Bi6 after structural relaxation.

POSCAR file:
```
CeEr5Bi6
1.0
-1.898 4.454 6.056
-7.064 -1.936 2.521
-0.810 -5.473 5.427
Ce Er Bi
1 5 6
Cartesian
0.000 0.000 0.000
-2.654 -1.765 7.086
-2.621 -2.476 2.656
-4.481 1.259 4.289
-5.253 -4.932 5.293
-7.118 -1.189 6.918
-2.289 1.311 6.566
-4.834 -1.836 4.826
-2.275 0.625 2.161
-6.687 1.894 6.416
-4.938 -1.118 9.178
-7.483 -4.265 7.438
```

Calculated values
ΔH_f (0 K)	-0.81	eV per atom

No. 4
DFT (PBE) results for CoAg2TePd after structural relaxation.

POSCAR file:
```
CoAg2TePd
1.0
5.057 0.000 0.000
0.000 5.057 0.000
0.000 0.000 4.620
Te Co Pd Ag
1 1 1 2
Cartesian
2.528 2.528 2.310
0.000 0.000 2.310
0.000 0.000 0.000
0.000 2.528 0.000
2.528 0.000 0.000
```

Calculated values
formation energy from raw total energies	18.7	kcal/mol of atoms

No. 5
DFT (PBE) results for NaPH2Pt after structural relaxation.

POSCAR file:
```
NaPH2Pt
1.0
-0.882 0.474 3.374
6.118 -1.263 1.778
0.786 3.419 -0.275
P H Pt Na
1 2 1 1
Cartesian
3.011 1.316 2.438
0.393 1.710 -0.138
-0.441 0.237 1.687
3.059 -0.631 0.889
0.000 0.000 0.000
```

Calculated values
calculated total energy	-3.0810	eV per atom

No. 6
DFT (PBE) results for Er5Ge5Ir2 after structural relaxation.

POSCAR file:
```
Er5Ge5Ir2
1.0
-0.910 3.534 -2.106
-6.312 2.977 3.507
4.682 5.913 3.684
Er Ge Ir
5 5 2
Cartesian
-0.815 4.445 3.596
-0.638 9.941 4.314
-4.734 6.009 3.700
2.194 6.414 1.386
-1.902 2.482 0.772
-0.457 5.198 0.491
1.038 8.968 1.957
-3.578 3.455 3.129
-2.083 7.225 4.595
0.000 0.000 0.000
0.241 7.228 3.595
-2.781 5.195 1.490
```

Calculated values
ΔH_f (0 K)	-0.80	eV per atom